No. 1
A relaxed structure of Sc2TcHgC. Source: Alexandria via LeMat-Bulk, functional GGA-PBEsol.

Output
space group = P4/mmm, No. 123
magnetization = 0.9 μB/f.u.
DFT total energy = -5.300 eV/atom

Unit cell a=5.2558 b=5.2558 c=3.7695 alpha=90.00 beta=90.00 gamma=90.00
Fractional coordinates of all 5 atoms:
Sc1 0.0000 0.5000 0.0000
Sc2 0.5000 0.0000 0.0000
Tc1 0.0000 0.0000 0.5000
Hg1 0.5000 0.5000 0.0000
C1 0.5000 0.5000 0.5000

=====

No. 2
A relaxed structure of YBr. Source: Alexandria via LeMat-Bulk, functional GGA-PBEsol.

Output
uncorrected formation energy = -1.1871 eV/atom
space group = Cmcm, No. 63
magnetization = 0.0 μB/f.u.

Unit cell a=9.1367 b=9.1367 c=3.6781 alpha=90.00 beta=90.00 gamma=156.81
Fractional coordinates of all 4 atoms:
Y1 0.1826 0.8174 0.7500
Y2 0.8174 0.1826 0.2500
Br1 0.4004 0.5996 0.7500
Br2 0.5996 0.4004 0.2500

=====

No. 3
A relaxed structure of TbMgCd2. Source: Alexandria via LeMat-Bulk, functional GGA-PBEsol.

Output
space group = Fm-3m, No. 225
magnetization = 0.0 μB/f.u.
DFT total energy = -2.630 eV/atom

Unit cell a=5.0203 b=5.0203 c=5.0203 alpha=60.00 beta=60.00 gamma=60.00
Fractional coordinates of all 4 atoms:
Tb1 0.0000 0.0000 0.0000
Mg1 0.5000 0.5000 0.5000
Cd1 0.2500 0.2500 0.2500
Cd2 0.7500 0.7500 0.7500

=====

No. 4
A relaxed structure of BSbPd2. Source: Alexandria via LeMat-Bulk, functional GGA-PBEsol.

Output
uncorrected formation energy = 0.4078 eV/atom
space group = Fm-3m, No. 225
magnetization = 0.0 μB/f.u.

Unit cell a=4.3719 b=4.3719 c=4.3719 alpha=60.00 beta=60.00 gamma=60.00
Fractional coordinates of all 4 atoms:
B1 0.0000 0.0000 0.0000
Sb1 0.5000 0.5000 0.5000
Pd1 0.2500 0.2500 0.2500
Pd2 0.7500 0.7500 0.7500

=====

No. 5
A relaxed structure of MgSc2. Source: Alexandria via LeMat-Bulk, functional GGA-PBEsol.

Output
space group = I4_1/amd, No. 141
magnetization = 0.0 μB/f.u.
DFT total energy = -4.943 eV/atom

Unit cell a=13.6606 b=13.6606 c=13.6606 alpha=160.71 beta=160.71 gamma=27.41
Fractional coordinates of all 12 atoms:
Mg1 0.2914 0.5414 0.7500
Mg2 0.4586 0.7086 0.7500
Mg3 0.5414 0.2914 0.2500
Mg4 0.7086 0.4586 0.2500
Sc1 0.0425 0.7925 0.2500
Sc2 0.1238 0.3738 0.7500
Sc3 0.2075 0.9575 0.2500
Sc4 0.3738 0.1238 0.2500
Sc5 0.6262 0.8762 0.7500
Sc6 0.7925 0.0425 0.7500
Sc7 0.8762 0.6262 0.2500
Sc8 0.9575 0.2075 0.7500

=====

No. 6
A relaxed structure of Mg2TaAu. Source: Alexandria via LeMat-Bulk, functional GGA-PBEsol.

Output
energy relative to the lowest polymorph listed for this composition = 0.10 eV per formula unit
space group = P4/mmm, No. 123
magnetization = 0.0 μB/f.u.

Unit cell a=4.0950 b=4.0950 c=4.2124 alpha=90.00 beta=90.00 gamma=90.00
Fractional coordinates of all 4 atoms:
Mg1 0.0000 0.5000 0.0000
Mg2 0.5000 0.0000 0.0000
Ta1 0.0000 0.0000 0.5000
Au1 0.5000 0.5000 0.5000